First-principles (GGA+U) data for crystalline BaMn2TeO2 at its relaxed geometry, as listed in Alexandria.

Computed properties:
E (eV/cell): -76.96
Symmetry: P2_1/m, No. 11

abc: 7.338 6.148 7.809
angles: 90.00 107.95 90.00
Element x y z (fractional)
Ba  0.195  0.250  0.316
Ba  0.805  0.750  0.684
Mn  0.374  0.002  0.775
Mn  0.374  0.498  0.775
Mn  0.626  0.502  0.225
Mn  0.626  0.998  0.225
Te  0.264  0.750  0.047
Te  0.736  0.250  0.953
O  0.220  0.250  0.643
O  0.462  0.750  0.664
O  0.538  0.250  0.336
O  0.780  0.750  0.357